{"formula": "Li2NbV2O6", "functional": "PBE+U", "state": "optimized geometry", "lattice_angstrom": [[-5.112, 0.699, -0.800], [1.780, -4.907, 0.138], [0.413, 1.371, 5.157]], "species": ["O", "Li", "O", "O", "V", "V", "Li", "O", "Nb", "O", "O"], "fractional_positions": [[0.401, 0.065, 0.718], [0.179, 0.821, 0.000], [0.935, 0.599, 0.282], [0.599, 0.935, 0.282], [0.344, 0.656, 0.500], [0.656, 0.344, 0.500], [0.821, 0.179, 0.000], [0.227, 0.227, 0.269], [0.000, 0.000, 0.500], [0.773, 0.773, 0.731], [0.065, 0.401, 0.718]], "dft_energy_ev_per_atom": -7.48, "space_group": "C2/m (12)"}